1.
This record from Alexandria via LeMat-Bulk describes a geometry-optimized ZnRuF2 structure. The functional is PBE.

a = 7.9408 Å, b = 7.9408 Å, c = 7.9408 Å
α = 19.63°, β = 19.63°, γ = 19.63°
Last column: nearest neighbours and their distance in Å.
Positions (direct):
Zn1 0.0000 0.0000 0.0000  2 F 2.17
Ru1 0.5000 0.5000 0.5000  6 F 2.33
F1 0.0928 0.0928 0.0928  1 Zn 2.17, 3 Ru 2.33
F2 0.9072 0.9072 0.9072  1 Zn 2.17, 3 Ru 2.33

Properties
ΔE_f (raw)	-0.6313	eV per atom
total magnetic moment	2.344	μB per formula unit
electronic total energy	-16.82	eV per cell
symmetry	R-3m, No. 166

2.
This record from Alexandria via LeMat-Bulk describes a geometry-optimized ZnRuF2 structure. The functional is PBE.

a = 5.6746 Å, b = 5.6746 Å, c = 5.6746 Å
α = 124.45°, β = 124.45°, γ = 82.45°
Last column: nearest neighbours and their distance in Å.
Positions (direct):
Zn1 0.0000 0.0000 0.0000  4 F 1.95
Zn2 0.7500 0.2500 0.5000  4 F 1.95
Ru1 0.2500 0.7500 0.5000  4 F 2.40
Ru2 0.5000 0.5000 0.0000  4 F 2.40
F1 0.0553 0.6250 0.9303  2 Zn 1.95
F2 0.3750 0.3053 0.4303  2 Zn 1.95
F3 0.6947 0.1250 0.0697  2 Zn 1.95
F4 0.8750 0.9447 0.5697  2 Zn 1.95

Properties
ΔE_f (raw)	-0.3534	eV per atom
total magnetic moment	2.684	μB per formula unit
electronic total energy	-31.41	eV per cell
symmetry	I-42d, No. 122

3.
This record from Alexandria via LeMat-Bulk describes a geometry-optimized ZnRuF2 structure. The functional is PBE.

a = 4.1758 Å, b = 4.1758 Å, c = 4.1758 Å
α = 60.00°, β = 60.00°, γ = 60.00°
Last column: nearest neighbours and their distance in Å.
Positions (direct):
Zn1 0.0000 0.0000 0.0000  8 F 2.56
Ru1 0.5000 0.5000 0.5000  8 F 2.56
F1 0.2500 0.2500 0.2500  4 Ru 2.56, 4 Zn 2.56
F2 0.7500 0.7500 0.7500  4 Ru 2.56, 4 Zn 2.56

Properties
ΔE_f (raw)	-0.4224	eV per atom
total magnetic moment	2.797	μB per formula unit
electronic total energy	-15.98	eV per cell
symmetry	Fm-3m, No. 225

4.
This record from Alexandria via LeMat-Bulk describes a geometry-optimized ZnRu3F structure. The functional is PBE.

a = 4.1659 Å, b = 4.1659 Å, c = 4.1659 Å
α = 90.00°, β = 90.00°, γ = 90.00°
Last column: nearest neighbours and their distance in Å.
Positions (direct):
Zn1 0.0000 0.0000 0.0000  12 Ru 2.95
Ru1 0.0000 0.5000 0.5000  2 F 2.08
Ru2 0.5000 0.0000 0.5000  2 F 2.08
Ru3 0.5000 0.5000 0.0000  2 F 2.08
F1 0.5000 0.5000 0.5000  6 Ru 2.08

Properties
ΔE_f (raw)	0.9318	eV per atom
total magnetic moment	0.263	μB per formula unit
electronic total energy	-26.31	eV per cell
symmetry	Pm-3m, No. 221